Entry 1:
# CaTcSeBr2 (GGA-PBE, optimized geometry)
# Energy relative to the lowest polymorph listed for this composition = 2.27 eV/f.u.
# DOS(E_F) = 0.5 states/eV/cell
# Final energy = -3.80 eV per atom
# Raw formation energy = 0.0352 eV per atom
# Spin magnetization = 5.05 μB per cell
data_CaTcSeBr2
_space_group_name_H-M_alt 'P 1'
_space_group_IT_number 1
_space_group_name_Hall 'P 1'
_cell_length_a 5.366
_cell_length_b 5.366
_cell_length_c 5.780
_cell_angle_alpha 90.00
_cell_angle_beta 90.00
_cell_angle_gamma 90.00
loop_
_atom_site_label
_atom_site_fract_x
_atom_site_fract_y
_atom_site_fract_z
Ca1 0.000 0.000 0.000
Se1 0.000 0.000 0.500
Tc1 0.500 0.500 0.500
Br1 0.000 0.500 0.000
Br2 0.500 0.000 0.000

---

Entry 2:
# HoEr2Tm5Th (GGA-PBE, optimized geometry)
# Formation energy = 16 kJ per mole of atoms
# DOS(E_F) = 26.1 states/eV/cell
# Final energy = -4.66 eV per atom
# Spin magnetization = 0.00 μB per cell
data_HoEr2Tm5Th
_space_group_name_H-M_alt 'P 1'
_space_group_IT_number 1
_space_group_name_Hall 'P 1'
_cell_length_a 5.615
_cell_length_b 10.994
_cell_length_c 9.589
_cell_angle_alpha 90.00
_cell_angle_beta 90.00
_cell_angle_gamma 104.80
loop_
_atom_site_label
_atom_site_fract_x
_atom_site_fract_y
_atom_site_fract_z
Ho1 0.809 0.617 0.518
Ho2 0.191 0.383 0.018
Er1 0.886 0.771 0.828
Er2 0.131 0.262 0.710
Er3 0.114 0.229 0.328
Er4 0.869 0.738 0.210
Tm1 0.397 0.794 0.040
Tm2 0.731 0.461 0.828
Tm3 0.470 0.939 0.741
Tm4 0.306 0.611 0.719
Tm5 0.986 0.971 0.519
Tm6 0.603 0.206 0.540
Tm7 0.269 0.539 0.328
Tm8 0.530 0.061 0.241
Tm9 0.694 0.389 0.219
Tm10 0.014 0.029 0.019
Th1 0.595 0.191 0.922
Th2 0.405 0.809 0.422

---

Entry 3:
# CsMgIn3 (GGA-PBE, optimized geometry)
# Energy relative to the lowest polymorph listed for this composition = 5.61 eV/f.u.
# Formation energy = 106 kJ per mole of atoms
# DOS(E_F) = 14.6 states/eV/cell
# Final energy = -1.04 eV per atom
# Spin magnetization = 0.00 μB per cell
data_CsMgIn3
_space_group_name_H-M_alt 'P 1'
_space_group_IT_number 1
_space_group_name_Hall 'P 1'
_cell_length_a 6.583
_cell_length_b 6.583
_cell_length_c 6.583
_cell_angle_alpha 90.00
_cell_angle_beta 90.00
_cell_angle_gamma 90.00
loop_
_atom_site_label
_atom_site_fract_x
_atom_site_fract_y
_atom_site_fract_z
Cs1 0.000 0.000 0.000
Mg1 0.500 0.500 0.500
In1 0.000 0.500 0.000
In2 0.000 0.000 0.500
In3 0.500 0.000 0.000